DFT (PBE) results for a relaxed ErScAu crystal.

The total energy comes out at -15.5 eV/f.u. The value obtained for the spin magnetization is 0.00 μB per cell. The formation energy comes out at -0.44 eV per atom. The energy above the most stable polymorph in this dataset comes out at 210 meV per atom.

The structure belongs to space group F-43m (No. 216); the cell edges are 6.796, 6.796 and 6.796 Å and the angles 90.00°, 90.00° and 90.00°. Symmetry generates all atoms from Er at (0.000, 0.000, 0.000), Sc at (0.000, 0.000, 0.500) and Au at (0.250, 0.250, 0.750).